Entry 1:
Crystalline Mo2IrSe at its relaxed geometry. Source: Alexandria, functional GGA-PBE.

## Properties
- formation energy without anion corrections (eV/atom) = 0.36
- energy (eV/f.u.) = -32.6
- total magnetic moment (μB/cell) = 0.00

Cell and atoms, written as CIF:
```
data_Mo2IrSe
_chemical_formula_sum 'Mo4 Ir2 Se2'
_cell_length_a 3.837
_cell_length_b 3.837
_cell_length_c 8.552
_cell_angle_alpha 90.00
_cell_angle_beta 90.00
_cell_angle_gamma 90.00
_symmetry_space_group_name_H-M 'P 1'
_symmetry_Int_Tables_number 1
loop_
_symmetry_equiv_pos_as_xyz
'x,y,z'
loop_
_atom_site_label
_atom_site_fract_x
_atom_site_fract_y
_atom_site_fract_z
_atom_site_occupancy
Mo1 0.000 0.500 0.250 1
Mo2 0.000 0.500 0.750 1
Mo3 0.500 0.000 0.250 1
Mo4 0.500 0.000 0.750 1
Ir1 0.000 0.000 0.000 1
Ir2 0.500 0.500 0.500 1
Se1 0.000 0.000 0.500 1
Se2 0.500 0.500 0.000 1
```

=====

Entry 2:
Crystalline Mo2IrSe at its relaxed geometry. Source: Alexandria, functional GGA-PBE.

## Properties
- formation energy without anion corrections (eV/atom) = 0.40
- energy (eV/f.u.) = -32.4
- total magnetic moment (μB/cell) = 0.00

Cell and atoms, written as CIF:
```
data_Mo2IrSe
_chemical_formula_sum 'Mo4 Ir2 Se2'
_cell_length_a 3.849
_cell_length_b 3.849
_cell_length_c 8.479
_cell_angle_alpha 90.00
_cell_angle_beta 90.00
_cell_angle_gamma 90.00
_symmetry_space_group_name_H-M 'P 1'
_symmetry_Int_Tables_number 1
loop_
_symmetry_equiv_pos_as_xyz
'x,y,z'
loop_
_atom_site_label
_atom_site_fract_x
_atom_site_fract_y
_atom_site_fract_z
_atom_site_occupancy
Mo1 0.000 0.000 0.000 1
Mo2 0.000 0.500 0.250 1
Mo3 0.500 0.000 0.750 1
Mo4 0.500 0.500 0.500 1
Ir1 0.000 0.000 0.500 1
Ir2 0.500 0.500 0.000 1
Se1 0.000 0.500 0.750 1
Se2 0.500 0.000 0.250 1
```

=====

Entry 3:
Crystalline Mo2IrSe at its relaxed geometry. Source: Alexandria, functional GGA-PBE.

## Properties
- formation energy without anion corrections (eV/atom) = 0.16
- energy (eV/f.u.) = -33.4
- total magnetic moment (μB/cell) = 0.00

Cell and atoms, written as CIF:
```
data_Mo2IrSe
_chemical_formula_sum 'Mo2 Ir1 Se1'
_cell_length_a 2.880
_cell_length_b 4.075
_cell_length_c 5.464
_cell_angle_alpha 90.00
_cell_angle_beta 103.67
_cell_angle_gamma 90.00
_symmetry_space_group_name_H-M 'P 1'
_symmetry_Int_Tables_number 1
loop_
_symmetry_equiv_pos_as_xyz
'x,y,z'
loop_
_atom_site_label
_atom_site_fract_x
_atom_site_fract_y
_atom_site_fract_z
_atom_site_occupancy
Mo1 0.093 0.000 0.253 1
Mo2 0.907 0.000 0.747 1
Ir1 0.500 0.500 0.000 1
Se1 0.500 0.500 0.500 1
```

=====

Entry 4:
Crystalline Mo2IrSe at its relaxed geometry. Source: Alexandria, functional GGA-PBE.

## Properties
- formation energy without anion corrections (eV/atom) = 0.09
- energy (eV/f.u.) = -33.6
- total magnetic moment (μB/cell) = 0.00

Cell and atoms, written as CIF:
```
data_Mo2IrSe
_chemical_formula_sum 'Mo4 Ir2 Se2'
_cell_length_a 9.330
_cell_length_b 2.958
_cell_length_c 4.698
_cell_angle_alpha 90.00
_cell_angle_beta 103.98
_cell_angle_gamma 90.00
_symmetry_space_group_name_H-M 'P 1'
_symmetry_Int_Tables_number 1
loop_
_symmetry_equiv_pos_as_xyz
'x,y,z'
loop_
_atom_site_label
_atom_site_fract_x
_atom_site_fract_y
_atom_site_fract_z
_atom_site_occupancy
Mo1 0.000 0.000 0.000 1
Mo2 0.216 0.000 0.602 1
Mo3 0.500 0.500 0.000 1
Mo4 0.716 0.500 0.602 1
Ir1 0.239 0.500 0.127 1
Ir2 0.739 0.000 0.127 1
Se1 0.485 0.000 0.499 1
Se2 0.985 0.500 0.499 1
```

=====

Entry 5:
Crystalline MoIrSe2 at its relaxed geometry. Source: Alexandria, functional GGA-PBE.

## Properties
- formation energy without anion corrections (eV/atom) = 0.20
- energy (eV/f.u.) = -25.9
- ΔE to the lowest computed polymorph (kcal/mol of atoms) = 5.43
- total magnetic moment (μB/cell) = 0.00

Cell and atoms, written as CIF:
```
data_MoIrSe2
_chemical_formula_sum 'Mo1 Ir1 Se2'
_cell_length_a 4.306
_cell_length_b 3.081
_cell_length_c 5.325
_cell_angle_alpha 90.00
_cell_angle_beta 113.59
_cell_angle_gamma 90.00
_symmetry_space_group_name_H-M 'P 1'
_symmetry_Int_Tables_number 1
loop_
_symmetry_equiv_pos_as_xyz
'x,y,z'
loop_
_atom_site_label
_atom_site_fract_x
_atom_site_fract_y
_atom_site_fract_z
_atom_site_occupancy
Mo1 0.000 0.000 0.000 1
Ir1 0.500 0.500 0.500 1
Se1 0.000 0.000 0.500 1
Se2 0.500 0.500 0.000 1
```

=====

Entry 6:
Crystalline MoIrSe2 at its relaxed geometry. Source: Alexandria, functional GGA-PBE.

## Properties
- formation energy without anion corrections (eV/atom) = 0.26
- energy (eV/f.u.) = -25.6
- ΔE to the lowest computed polymorph (kcal/mol of atoms) = 6.96
- total magnetic moment (μB/cell) = 0.00

Cell and atoms, written as CIF:
```
data_MoIrSe2
_chemical_formula_sum 'Mo1 Ir1 Se2'
_cell_length_a 3.178
_cell_length_b 3.178
_cell_length_c 6.306
_cell_angle_alpha 90.00
_cell_angle_beta 90.00
_cell_angle_gamma 90.00
_symmetry_space_group_name_H-M 'P 1'
_symmetry_Int_Tables_number 1
loop_
_symmetry_equiv_pos_as_xyz
'x,y,z'
loop_
_atom_site_label
_atom_site_fract_x
_atom_site_fract_y
_atom_site_fract_z
_atom_site_occupancy
Mo1 0.000 0.000 0.000 1
Ir1 0.000 0.000 0.500 1
Se1 0.500 0.500 0.239 1
Se2 0.500 0.500 0.761 1
```

=====

Entry 7:
Crystalline MoIrSe2 at its relaxed geometry. Source: Alexandria, functional GGA-PBE.

## Properties
- formation energy without anion corrections (eV/atom) = 0.44
- energy (eV/f.u.) = -24.9
- ΔE to the lowest computed polymorph (kcal/mol of atoms) = 11.12
- total magnetic moment (μB/cell) = 0.00

Cell and atoms, written as CIF:
```
data_MoIrSe2
_chemical_formula_sum 'Mo2 Ir2 Se4'
_cell_length_a 6.145
_cell_length_b 8.312
_cell_length_c 2.740
_cell_angle_alpha 90.00
_cell_angle_beta 90.18
_cell_angle_gamma 90.00
_symmetry_space_group_name_H-M 'P 1'
_symmetry_Int_Tables_number 1
loop_
_symmetry_equiv_pos_as_xyz
'x,y,z'
loop_
_atom_site_label
_atom_site_fract_x
_atom_site_fract_y
_atom_site_fract_z
_atom_site_occupancy
Mo1 0.000 0.000 0.000 1
Mo2 0.500 0.500 0.000 1
Ir1 0.000 0.500 0.000 1
Ir2 0.500 0.000 0.000 1
Se1 0.250 0.250 0.000 1
Se2 0.250 0.750 0.000 1
Se3 0.750 0.250 0.000 1
Se4 0.750 0.750 0.000 1
```

=====

Entry 8:
Crystalline MoIrSe2 at its relaxed geometry. Source: Alexandria, functional GGA-PBE.

## Properties
- formation energy without anion corrections (eV/atom) = -0.04
- energy (eV/f.u.) = -26.8
- ΔE to the lowest computed polymorph (kcal/mol of atoms) = 0.00
- total magnetic moment (μB/cell) = 0.00

Cell and atoms, written as CIF:
```
data_MoIrSe2
_chemical_formula_sum 'Mo1 Ir1 Se2'
_cell_length_a 2.951
_cell_length_b 2.951
_cell_length_c 8.684
_cell_angle_alpha 90.00
_cell_angle_beta 90.00
_cell_angle_gamma 90.00
_symmetry_space_group_name_H-M 'P 1'
_symmetry_Int_Tables_number 1
loop_
_symmetry_equiv_pos_as_xyz
'x,y,z'
loop_
_atom_site_label
_atom_site_fract_x
_atom_site_fract_y
_atom_site_fract_z
_atom_site_occupancy
Mo1 0.000 0.000 0.000 1
Ir1 0.500 0.500 0.790 1
Se1 0.000 0.000 0.581 1
Se2 0.500 0.500 0.182 1
```

=====

Entry 9:
Crystalline MoIrSe2 at its relaxed geometry. Source: Alexandria, functional GGA-PBE.

## Properties
- formation energy without anion corrections (eV/atom) = 0.01
- energy (eV/f.u.) = -26.6
- ΔE to the lowest computed polymorph (kcal/mol of atoms) = 1.14
- total magnetic moment (μB/cell) = 0.00

Cell and atoms, written as CIF:
```
data_MoIrSe2
_chemical_formula_sum 'Mo1 Ir1 Se2'
_cell_length_a 3.139
_cell_length_b 3.843
_cell_length_c 6.626
_cell_angle_alpha 90.00
_cell_angle_beta 90.00
_cell_angle_gamma 90.00
_symmetry_space_group_name_H-M 'P 1'
_symmetry_Int_Tables_number 1
loop_
_symmetry_equiv_pos_as_xyz
'x,y,z'
loop_
_atom_site_label
_atom_site_fract_x
_atom_site_fract_y
_atom_site_fract_z
_atom_site_occupancy
Mo1 0.000 0.000 0.000 1
Ir1 0.500 0.500 0.801 1
Se1 0.000 0.000 0.636 1
Se2 0.500 0.500 0.167 1
```

=====

Entry 10:
Crystalline MoIrSe2 at its relaxed geometry. Source: Alexandria, functional GGA-PBE.

## Properties
- formation energy without anion corrections (eV/atom) = 0.04
- energy (eV/f.u.) = -26.5
- ΔE to the lowest computed polymorph (kcal/mol of atoms) = 1.74
- total magnetic moment (μB/cell) = 0.00

Cell and atoms, written as CIF:
```
data_MoIrSe2
_chemical_formula_sum 'Mo1 Ir1 Se2'
_cell_length_a 2.928
_cell_length_b 4.094
_cell_length_c 6.956
_cell_angle_alpha 90.00
_cell_angle_beta 99.20
_cell_angle_gamma 90.00
_symmetry_space_group_name_H-M 'P 1'
_symmetry_Int_Tables_number 1
loop_
_symmetry_equiv_pos_as_xyz
'x,y,z'
loop_
_atom_site_label
_atom_site_fract_x
_atom_site_fract_y
_atom_site_fract_z
_atom_site_occupancy
Mo1 0.000 0.000 0.000 1
Ir1 0.408 0.500 0.843 1
Se1 0.108 0.000 0.647 1
Se2 0.448 0.500 0.199 1
```